Material: Os2AuBr
Method: DFT, PBE-GGA
State: relaxed

M_tot = 0.02 μB/cell
formation energy without anion corrections = 1345 meV per atom
DOS at the Fermi energy = 5.4 states/eV/cell
relative energy among the computed polymorphs = 501 meV per atom

a b c (Å): 2.8002 4.8335 5.0014
angles (deg): 90.00 90.00 90.00
Last column: nearest neighbours and their distance in Å.
Positions (direct):
Os: 0.0000 0.0000 0.0000  4 Br 2.79, 6 Os 2.80-2.87
Os: 0.5000 0.0000 0.5000  4 Au 2.79, 6 Os 2.80-2.87
Au: 0.0000 0.5000 0.5000  4 Os 2.79, 2 Au 2.80, 4 Br 2.87
Br: 0.5000 0.5000 0.0000  4 Os 2.79, 2 Br 2.80, 4 Au 2.87



Material: Os2AuBr
Method: DFT, PBE-GGA
State: relaxed

M_tot = 0.00 μB/cell
formation energy without anion corrections = 1550 meV per atom
DOS at the Fermi energy = 4.6 states/eV/cell
relative energy among the computed polymorphs = 706 meV per atom

a b c (Å): 4.5214 4.5214 4.5214
angles (deg): 60.00 60.00 60.00
Last column: nearest neighbours and their distance in Å.
Positions (direct):
Os: 0.2500 0.2500 0.2500  4 Br 2.77, 4 Au 2.77
Os: 0.7500 0.7500 0.7500  4 Br 2.77, 4 Au 2.77
Au: 0.0000 0.0000 0.0000  8 Os 2.77
Br: 0.5000 0.5000 0.5000  8 Os 2.77



Material: Os2AuBr
Method: DFT, PBE-GGA
State: relaxed

M_tot = 0.00 μB/cell
formation energy without anion corrections = 979 meV per atom
DOS at the Fermi energy = 3.4 states/eV/cell
relative energy among the computed polymorphs = 136 meV per atom

a b c (Å): 5.4210 5.4210 8.0262
angles (deg): 127.60 127.60 30.60
Last column: nearest neighbours and their distance in Å.
Positions (direct):
Os: 0.1334 0.1334 0.3575  2 Os 2.48, 2 Br 2.68, 2 Au 2.71
Os: 0.8666 0.8666 0.6425  2 Os 2.48, 2 Br 2.68, 2 Au 2.71
Au: 0.5000 0.5000 0.5000  4 Os 2.71, 2 Au 2.86
Br: 0.5000 0.5000 0.0000  4 Os 2.68, 2 Br 2.86



Material: Os2AuBr
Method: DFT, PBE-GGA
State: relaxed

M_tot = 0.47 μB/cell
formation energy without anion corrections = 843 meV per atom
DOS at the Fermi energy = 3.9 states/eV/cell
relative energy among the computed polymorphs = 0 meV per atom

a b c (Å): 2.8296 2.8296 10.5823
angles (deg): 90.00 90.00 120.73
Last column: nearest neighbours and their distance in Å.
Positions (direct):
Os: 0.0000 0.0000 0.0000  8 Os 2.53-2.83
Os: 0.5000 0.5000 0.1997  8 Os 2.53-2.83
Au: 0.5000 0.5000 0.7584  6 Au 2.80-2.83, 2 Os 2.91
Br: 0.0000 0.0000 0.4487  6 Br 2.80-2.83, 2 Os 2.98



Material: Os2AuBr
Method: DFT, PBE-GGA
State: relaxed

M_tot = 0.00 μB/cell
formation energy without anion corrections = 1115 meV per atom
DOS at the Fermi energy = 3.7 states/eV/cell
relative energy among the computed polymorphs = 272 meV per atom

a b c (Å): 8.9530 8.9530 8.9530
angles (deg): 18.78 18.78 18.78
Last column: nearest neighbours and their distance in Å.
Positions (direct):
Os: 0.2477 0.2477 0.2477  3 Br 2.72, 3 Au 2.82, 6 Os 2.92
Os: 0.7523 0.7523 0.7523  3 Br 2.72, 3 Au 2.82, 6 Os 2.92
Au: 0.0000 0.0000 0.0000  6 Os 2.82, 6 Au 2.92
Br: 0.5000 0.5000 0.5000  6 Os 2.72, 6 Br 2.92



Material: Os2AuBr
Method: DFT, PBE-GGA
State: relaxed

M_tot = 0.00 μB/cell
formation energy without anion corrections = 1236 meV per atom
DOS at the Fermi energy = 4.2 states/eV/cell
relative energy among the computed polymorphs = 393 meV per atom

a b c (Å): 2.8645 2.8645 9.5434
angles (deg): 90.00 90.00 121.51
Last column: nearest neighbours and their distance in Å.
Positions (direct):
Os: 0.0000 0.0000 0.2463  2 Br 2.74, 2 Au 2.80, 6 Os 2.80-2.86
Os: 0.0000 0.0000 0.7537  2 Br 2.74, 2 Au 2.80, 6 Os 2.80-2.86
Au: 0.5000 0.5000 0.5000  4 Os 2.80, 6 Au 2.80-2.86
Br: 0.5000 0.5000 0.0000  4 Os 2.74, 6 Br 2.80-2.86



Material: OsAuBr6
Method: DFT, PBE-GGA
State: relaxed

M_tot = 1.94 μB/cell
formation energy without anion corrections = -96 meV per atom
DOS at the Fermi energy = 2.8 states/eV/cell

a b c (Å): 6.8210 6.8210 7.4528
angles (deg): 105.30 105.30 113.70
Last column: nearest neighbours and their distance in Å.
Positions (direct):
Os: 0.0000 0.0000 0.0000  6 Br 2.44-2.52
Au: 0.5000 0.5000 0.5000  4 Br 2.60
Br: 0.0918 0.3937 0.2431  1 Os 2.52, 1 Au 2.60
Br: 0.1902 0.1902 0.8104  1 Os 2.44
Br: 0.3937 0.0918 0.2431  1 Os 2.52, 1 Au 2.60
Br: 0.6063 0.9082 0.7569  1 Os 2.52, 1 Au 2.60
Br: 0.8098 0.8098 0.1896  1 Os 2.44
Br: 0.9082 0.6063 0.7569  1 Os 2.52, 1 Au 2.60



Material: OsAuBr3
Method: DFT, PBE-GGA
State: relaxed

M_tot = 1.42 μB/cell
formation energy without anion corrections = 745 meV per atom
DOS at the Fermi energy = 3.8 states/eV/cell

a b c (Å): 5.0667 5.0667 5.0667
angles (deg): 90.00 90.00 90.00
Last column: nearest neighbours and their distance in Å.
Positions (direct):
Os: 0.0000 0.0000 0.0000  6 Br 2.53
Au: 0.5000 0.5000 0.5000  12 Br 3.58
Br: 0.0000 0.0000 0.5000  2 Os 2.53
Br: 0.0000 0.5000 0.0000  2 Os 2.53
Br: 0.5000 0.0000 0.0000  2 Os 2.53



Material: Os2AuBr
Method: DFT, PBE-GGA
State: relaxed

M_tot = 0.00 μB/cell
formation energy without anion corrections = 1508 meV per atom
DOS at the Fermi energy = 4.8 states/eV/cell
relative energy among the computed polymorphs = 664 meV per atom

a b c (Å): 4.6322 4.6322 3.0495
angles (deg): 90.00 90.00 90.00
Last column: nearest neighbours and their distance in Å.
Positions (direct):
Os: 0.0000 0.5000 0.0000  4 Br 2.77, 4 Au 2.77, 2 Os 3.05
Os: 0.5000 0.0000 0.0000  4 Br 2.77, 4 Au 2.77, 2 Os 3.05
Au: 0.0000 0.0000 0.5000  8 Os 2.77, 2 Au 3.05
Br: 0.5000 0.5000 0.5000  8 Os 2.77, 2 Br 3.05



Material: Pr8Os3AuBr4
Method: DFT, PBE-GGA
State: relaxed

M_tot = 0.00 μB/cell
formation energy without anion corrections = -768 meV per atom
DOS at the Fermi energy = 5.5 states/eV/cell

a b c (Å): 9.2492 9.2492 9.2492
angles (deg): 54.20 54.20 54.20
Last column: nearest neighbours and their distance in Å.
Positions (direct):
Pr: 0.2128 0.7423 0.7423  2 Os 2.83, 1 Au 3.01
Pr: 0.2332 0.2332 0.2332  3 Os 2.90
Pr: 0.2577 0.2577 0.7872  2 Os 2.83, 1 Au 3.01
Pr: 0.2577 0.7872 0.2577  2 Os 2.83, 1 Au 3.01
Pr: 0.7423 0.2128 0.7423  2 Os 2.83, 1 Au 3.01
Pr: 0.7423 0.7423 0.2128  2 Os 2.83, 1 Au 3.01
Pr: 0.7668 0.7668 0.7668  3 Os 2.90
Pr: 0.7872 0.2577 0.2577  2 Os 2.83, 1 Au 3.01
Os: 0.0000 0.0000 0.5000  6 Pr 2.83-2.90
Os: 0.0000 0.5000 0.0000  6 Pr 2.83-2.90
Os: 0.5000 0.0000 0.0000  6 Pr 2.83-2.90
Au: 0.5000 0.5000 0.5000  6 Pr 3.01
Br: 0.0000 0.0000 0.0000  6 Pr 3.30
Br: 0.0000 0.5000 0.5000  6 Pr 3.39-3.46
Br: 0.5000 0.0000 0.5000  6 Pr 3.39-3.46
Br: 0.5000 0.5000 0.0000  6 Pr 3.39-3.46



Material: Pr6Os2AuBr3
Method: DFT, PBE-GGA
State: relaxed

M_tot = 0.00 μB/cell
formation energy without anion corrections = -829 meV per atom
DOS at the Fermi energy = 3.5 states/eV/cell

a b c (Å): 7.3320 7.3320 8.2485
angles (deg): 98.48 98.48 120.03
Last column: nearest neighbours and their distance in Å.
Positions (direct):
Pr: 0.0767 0.4338 0.8012  2 Os 2.83-2.84, 1 Au 3.05
Pr: 0.2086 0.2086 0.1985  2 Os 2.83, 1 Au 3.05
Pr: 0.4338 0.0767 0.8012  2 Os 2.83-2.84, 1 Au 3.05
Pr: 0.5662 0.9233 0.1988  2 Os 2.83-2.84, 1 Au 3.05
Pr: 0.7914 0.7914 0.8015  2 Os 2.83, 1 Au 3.05
Pr: 0.9233 0.5662 0.1988  2 Os 2.83-2.84, 1 Au 3.05
Os: 0.1666 0.8334 0.0000  6 Pr 2.83-2.84
Os: 0.8334 0.1666 0.0000  6 Pr 2.83-2.84
Au: 0.5000 0.5000 0.0000  6 Pr 3.05
Br: 0.0000 0.0000 0.5000  6 Pr 3.28-3.47
Br: 0.3313 0.6687 0.5000  6 Pr 3.27-3.49
Br: 0.6687 0.3313 0.5000  6 Pr 3.27-3.49



Material: Os2RuAuBr
Method: DFT, PBE-GGA
State: relaxed

M_tot = 2.32 μB/cell
formation energy without anion corrections = 2482 meV per atom
DOS at the Fermi energy = 6.9 states/eV/cell

a b c (Å): 4.5216 4.5216 4.8321
angles (deg): 90.00 90.00 90.00
Last column: nearest neighbours and their distance in Å.
Positions (direct):
Os: 0.0000 0.5000 0.0000  2 Br 2.26
Os: 0.5000 0.0000 0.0000  2 Br 2.26
Ru: 0.0000 0.0000 0.5000  4 Au 3.20, 8 Os 3.31
Au: 0.5000 0.5000 0.5000  2 Br 2.42
Br: 0.5000 0.5000 0.0000  4 Os 2.26, 2 Au 2.42